A plane-wave DFT calculation with PBE was carried out for an optimized crystal structure of Pm2NiP.

extended XYZ file:
```
4
Lattice="-4.6182 1.1668 1.3986 -3.6501 -3.3331 -0.4612 -1.9730 -2.0961 4.0447" Properties=species:S:1:pos:R:3 pbc="T T T"
Ni 0.0000 0.0000 0.0000
P -5.1207 -2.1312 2.4910
Pm -2.5603 -1.0656 1.2455
Pm -7.6810 -3.1967 3.7365
```

Output
* energy relative to the lowest polymorph listed for this composition: 0.168 eV per atom